Entry i
# Na3V2P3O12

Na3V2P3O12 at its PBEsol-relaxed geometry (meta-GGA SCAN, the Alexandria database).

Properties
**Space group**: C2/c (15)
**Total magnetic moment**: 4.0 μB per formula unit

Lattice parameters (Å, degrees): 8.7451 8.7451 8.7844 59.74 59.74 60.34
Last column: nearest neighbours and their distance in Å.
Sites, in units of the cell vectors:
V 0.6410 0.1474 0.0635  6 O 1.92-2.04
O 0.4363 0.0859 0.7530  1 P 1.57
Na 0.7508 0.8909 0.7441  6 O 2.37-2.53
O 0.2876 0.6307 0.0935  1 P 1.53
O 0.3693 0.7124 0.4065  1 P 1.53
O 0.9369 0.2197 0.2671  1 P 1.54
P 0.5462 0.7467 0.2428  4 O 1.53-1.57
O 0.7124 0.3693 0.9065  1 P 1.53
O 0.9141 0.5637 0.7470  1 P 1.57
Na 0.8909 0.7508 0.2441  6 O 2.37-2.53
P 0.0431 0.9569 0.7500  4 O 1.54-1.55
V 0.3590 0.8526 0.9365  6 O 1.92-2.04
O 0.7979 0.5285 0.5554  1 P 1.54
O 0.2197 0.9369 0.7671  1 P 1.54
O 0.0177 0.1314 0.5743  1 P 1.55
O 0.7291 0.5824 0.2553  1 P 1.54
P 0.9569 0.0431 0.2500  4 O 1.54-1.55
Na 0.2492 0.1091 0.2559  6 O 2.37-2.53
O 0.4176 0.2709 0.2447  1 P 1.54
O 0.8686 0.9823 0.9257  1 P 1.55
Na 0.1091 0.2492 0.7559  6 O 2.37-2.53
O 0.5637 0.9141 0.2470  1 P 1.57
O 0.0631 0.7803 0.7329  1 P 1.54
O 0.0859 0.4363 0.2530  1 P 1.57
O 0.2709 0.4176 0.7447  1 P 1.54
O 0.4715 0.2021 0.9446  1 P 1.54
O 0.7803 0.0631 0.2329  1 P 1.54
Na 0.5000 0.0000 0.5000  6 O 2.40-2.46
V 0.1474 0.6410 0.5635  6 O 1.92-2.04
O 0.2021 0.4715 0.4446  1 P 1.54
O 0.5824 0.7291 0.7553  1 P 1.54
P 0.2533 0.4538 0.2572  4 O 1.53-1.57
P 0.7467 0.5462 0.7428  4 O 1.53-1.57
V 0.8526 0.3590 0.4365  6 O 1.92-2.04
P 0.4538 0.2533 0.7572  4 O 1.53-1.57
O 0.1314 0.0177 0.0743  1 P 1.55
O 0.5285 0.7979 0.0554  1 P 1.54
Na 0.0000 0.5000 0.0000  6 O 2.40-2.46
O 0.9823 0.8686 0.4257  1 P 1.55
O 0.6307 0.2876 0.5935  1 P 1.53

Entry ii
# Na3V2P3O12

Na3V2P3O12 at its PBEsol-relaxed geometry (meta-GGA SCAN, the Alexandria database).

Properties
**Space group**: P2_1/c (14)
**Total magnetic moment**: 4.0 μB per formula unit

Lattice parameters (Å, degrees): 8.6601 8.8804 12.1157 90.00 91.31 90.00
Last column: nearest neighbours and their distance in Å.
Sites, in units of the cell vectors:
P 0.8969 0.3690 0.8526  4 O 1.54-1.56
O 0.3513 0.0149 0.2623  1 P 1.55
O 0.1698 0.9371 0.9654  1 P 1.52
O 0.4296 0.5876 0.3446  1 P 1.55
P 0.3969 0.1310 0.3526  4 O 1.54-1.56
O 0.8138 0.0292 0.2393  1 P 1.55
O 0.6487 0.9851 0.7377  1 P 1.55
O 0.6698 0.5629 0.4654  1 P 1.52
P 0.0224 0.7469 0.4919  4 O 1.53-1.56
V 0.7577 0.5320 0.6124  6 O 1.94-2.02
O 0.3782 0.2106 0.6630  1 P 1.56
O 0.0803 0.1867 0.6014  1 P 1.54
O 0.0717 0.3795 0.8844  1 P 1.56
O 0.3524 0.2928 0.3201  1 P 1.54
Na 0.0837 0.9983 0.3326  5 O 2.29-2.49
O 0.1487 0.5149 0.2377  1 P 1.55
O 0.4370 0.8490 0.0760  1 P 1.53
Na 0.2480 0.6960 0.6645  4 O 2.26-2.41
P 0.1062 0.8838 0.8542  4 O 1.52-1.56
O 0.0630 0.3490 0.4240  1 P 1.53
O 0.1862 0.9708 0.7607  1 P 1.55
Na 0.3664 0.8198 0.4105  5 O 2.28-2.50
O 0.3014 0.0767 0.4528  1 P 1.56
O 0.8014 0.4233 0.9528  1 P 1.56
Na 0.4163 0.4983 0.1674  5 O 2.29-2.49
O 0.3302 0.4371 0.5346  1 P 1.52
P 0.8938 0.1162 0.1458  4 O 1.52-1.56
V 0.7423 0.0320 0.8876  6 O 1.94-2.02
O 0.6022 0.6227 0.0571  1 P 1.56
O 0.1476 0.7928 0.1799  1 P 1.54
O 0.3138 0.4708 0.7393  1 P 1.55
O 0.6218 0.7894 0.3370  1 P 1.56
O 0.5803 0.3133 0.1014  1 P 1.54
O 0.8978 0.1227 0.4429  1 P 1.56
V 0.7525 0.4614 0.1071  6 O 1.96-2.08
Na 0.8664 0.6802 0.9105  5 O 2.28-2.50
O 0.5717 0.1205 0.3844  1 P 1.56
O 0.3978 0.3773 0.9429  1 P 1.56
O 0.4197 0.6867 0.8986  1 P 1.54
Na 0.9163 0.0017 0.6674  5 O 2.29-2.49
V 0.2525 0.0386 0.6071  6 O 1.96-2.08
P 0.6031 0.8690 0.6474  4 O 1.54-1.56
P 0.1031 0.6310 0.1474  4 O 1.54-1.56
O 0.1218 0.7106 0.8370  1 P 1.56
O 0.9370 0.6510 0.5760  1 P 1.53
Na 0.5837 0.5017 0.8326  5 O 2.29-2.49
V 0.2475 0.5386 0.8929  6 O 1.96-2.08
O 0.9296 0.9124 0.8446  1 P 1.55
O 0.5630 0.1510 0.9240  1 P 1.53
P 0.3938 0.3838 0.6458  4 O 1.52-1.56
Na 0.7520 0.3040 0.3355  4 O 2.26-2.41
O 0.4283 0.8795 0.6156  1 P 1.56
Na 0.1336 0.3198 0.0895  5 O 2.28-2.50
P 0.4776 0.2469 0.0081  4 O 1.53-1.56
Na 0.2520 0.1960 0.8355  4 O 2.26-2.41
O 0.9197 0.8133 0.3986  1 P 1.54
V 0.7475 0.9614 0.3929  6 O 1.96-2.08
Na 0.6336 0.1802 0.5895  5 O 2.28-2.50
O 0.8782 0.2894 0.1630  1 P 1.56
O 0.5704 0.4124 0.6554  1 P 1.55
O 0.8428 0.3410 0.5586  1 P 1.54
Na 0.7480 0.8040 0.1645  4 O 2.26-2.41
O 0.1022 0.8773 0.5571  1 P 1.56
O 0.3428 0.1590 0.0586  1 P 1.54
O 0.6986 0.9233 0.5472  1 P 1.56
O 0.9283 0.6205 0.1156  1 P 1.56
V 0.2577 0.9680 0.1124  6 O 1.94-2.02
O 0.8513 0.4851 0.7623  1 P 1.55
O 0.1572 0.6590 0.4414  1 P 1.54
P 0.6062 0.6162 0.3542  4 O 1.52-1.56
P 0.5224 0.7531 0.9919  4 O 1.53-1.56
O 0.0704 0.0876 0.1554  1 P 1.55
O 0.8302 0.0629 0.0346  1 P 1.52
O 0.8524 0.2072 0.8201  1 P 1.54
P 0.9776 0.2531 0.5081  4 O 1.53-1.56
O 0.6862 0.5292 0.2607  1 P 1.55
O 0.1986 0.5767 0.0472  1 P 1.56
V 0.2423 0.4680 0.3876  6 O 1.94-2.02
O 0.6572 0.8410 0.9414  1 P 1.54
O 0.6476 0.7072 0.6799  1 P 1.54

Which of them is most stable, and which least? Most stable: entry i; least stable: entry ii.

Entry i
# Na2Sb4O11

Na2Sb4O11 at its PBEsol-relaxed geometry (meta-GGA SCAN, the Alexandria database).

Properties
**Space group**: R-3c (167)
**Total magnetic moment**: 0.0 μB per formula unit

Lattice parameters (Å, degrees): 6.2600 6.2600 12.4624 75.45 75.45 60.00
Last column: nearest neighbours and their distance in Å.
Sites, in units of the cell vectors:
O 0.0094 0.7500 0.7500  2 Sb 2.02
Sb 0.5000 0.5000 0.5000  6 O 2.01
O 0.2066 0.4498 0.5863  2 Sb 1.97-2.01
O 0.5094 0.9906 0.2500  2 Sb 2.02
O 0.9498 0.7066 0.0863  2 Sb 1.97-2.01
O 0.7573 0.2066 0.5863  2 Sb 1.97-2.01
O 0.7500 0.4906 0.7500  2 Sb 2.02
Na 0.8320 0.8320 0.5041  7 O 2.45-2.64
O 0.2427 0.7934 0.4137  2 Sb 1.97-2.01
Sb 0.8892 0.6108 0.2500  6 O 1.97-2.04
O 0.0502 0.2934 0.9137  2 Sb 1.97-2.01
O 0.2573 0.9498 0.0863  2 Sb 1.97-2.01
O 0.4498 0.7573 0.5863  2 Sb 1.97-2.01
O 0.9906 0.2500 0.2500  2 Sb 2.02
O 0.7427 0.0502 0.9137  2 Sb 1.97-2.01
Na 0.6680 0.6680 0.9959  7 O 2.45-2.64
Sb 0.3892 0.7500 0.7500  6 O 1.97-2.04
O 0.4906 0.0094 0.7500  2 Sb 2.02
Na 0.3320 0.3320 0.0041  7 O 2.45-2.64
Sb 0.6108 0.2500 0.2500  6 O 1.97-2.04
O 0.2500 0.5094 0.2500  2 Sb 2.02
O 0.7934 0.5502 0.4137  2 Sb 1.97-2.01
Sb 0.2500 0.8892 0.2500  6 O 1.97-2.04
O 0.2934 0.7427 0.9137  2 Sb 1.97-2.01
Sb 0.1108 0.3892 0.7500  6 O 1.97-2.04
O 0.5942 0.5942 0.2174  3 Sb 2.04
Sb 0.7500 0.1108 0.7500  6 O 1.97-2.04
Sb 0.0000 0.0000 0.0000  6 O 2.01
O 0.9058 0.9058 0.2826  3 Sb 2.04
O 0.5502 0.2427 0.4137  2 Sb 1.97-2.01
O 0.4058 0.4058 0.7826  3 Sb 2.04
Na 0.1680 0.1680 0.4959  7 O 2.45-2.64
O 0.0942 0.0942 0.7174  3 Sb 2.04
O 0.7066 0.2573 0.0863  2 Sb 1.97-2.01

Entry ii
# Na2Sb4O11

Na2Sb4O11 at its PBEsol-relaxed geometry (meta-GGA SCAN, the Alexandria database).

Properties
**Space group**: C2/m (12)
**Total magnetic moment**: 0.0 μB per formula unit

Lattice parameters (Å, degrees): 7.2152 7.5772 10.6372 110.86 95.78 90.00
Last column: nearest neighbours and their distance in Å.
Sites, in units of the cell vectors:
Sb 0.1019 0.5696 0.1392  6 O 1.96-2.08
O 0.4297 0.6669 0.8224  2 Sb 1.99-2.02
O 0.0000 0.6750 0.0000  2 Sb 2.00
Sb 0.5575 0.0680 0.6511  6 O 1.95-2.04
O 0.8067 0.1763 0.7422  2 Sb 1.96-1.98
Sb 0.4425 0.4170 0.3489  6 O 1.95-2.04
O 0.8067 0.5659 0.7422  2 Sb 1.96-1.98
O 0.1933 0.4341 0.2578  2 Sb 1.96-1.98
O 0.8755 0.6178 0.2356  2 Sb 1.94-1.98
O 0.4777 0.3320 0.6639  3 Sb 2.03-2.04
Sb 0.3803 0.4238 0.8476  6 O 1.94-2.14
Na 0.2684 0.0393 0.0785  1 O 2.34
Na 0.9132 0.2692 0.5383  3 O 2.38-2.58
O 0.6394 0.8443 0.6886  2 Sb 1.95
O 0.1933 0.8237 0.2578  2 Sb 1.96-1.98
O 0.6540 0.4775 0.9550  3 Sb 2.00-2.14
O 0.3606 0.1557 0.3114  2 Sb 1.95
O 0.3315 0.5557 0.5212  2 Sb 1.99-2.01
O 0.1245 0.3822 0.7644  2 Sb 1.94-1.98
O 0.6685 0.4443 0.4788  2 Sb 1.99-2.01
Na 0.7316 0.9607 0.9215  1 O 2.34
O 0.5703 0.8446 0.1776  2 Sb 1.99-2.02
O 0.5703 0.3331 0.1776  2 Sb 1.99-2.02
Na 0.0868 0.7308 0.4617  3 O 2.38-2.58
O 0.5223 0.6680 0.3361  3 Sb 2.03-2.04
Sb 0.6197 0.5762 0.1524  6 O 1.94-2.14
O 0.3315 0.9655 0.5212  2 Sb 1.99-2.01
O 0.6685 0.0345 0.4788  2 Sb 1.99-2.01
O 0.4297 0.1554 0.8224  2 Sb 1.99-2.02
Sb 0.4425 0.9320 0.3489  6 O 1.95-2.04
Sb 0.5575 0.5830 0.6511  6 O 1.95-2.04
O 0.3461 0.5225 0.0450  3 Sb 2.00-2.14
Sb 0.8981 0.4304 0.8608  6 O 1.96-2.08
O 0.0000 0.3250 0.0000  2 Sb 2.00

Which of them is most stable, and which least? Most stable: entry i; least stable: entry ii.

Entry i
# NaSb3O8

NaSb3O8 at its PBEsol-relaxed geometry (meta-GGA SCAN, the Alexandria database).

Properties
**Space group**: P2_1/c (14)
**Total magnetic moment**: 0.0 μB per formula unit

Lattice parameters (Å, degrees): 4.8247 5.7109 10.5803 97.53 90.00 90.00
Last column: nearest neighbours and their distance in Å.
Sites, in units of the cell vectors:
O 0.2939 0.9990 0.6845  2 Sb 1.96, 1 Na 2.19
O 0.7939 0.0010 0.8155  2 Sb 1.96, 1 Na 2.19
O 0.6484 0.2332 0.0796  2 Sb 1.97-1.98
O 0.7756 0.4829 0.3272  3 Sb 2.09-2.12
O 0.2061 0.9990 0.1845  2 Sb 1.96, 1 Na 2.19
O 0.1484 0.7668 0.4204  2 Sb 1.97-1.98
O 0.7078 0.7042 0.5842  2 Sb 1.96-1.97
O 0.8516 0.2332 0.5796  2 Sb 1.97-1.98
Sb 0.9767 0.7585 0.2503  6 O 1.96-2.10
Na 0.0000 0.0000 0.0000  6 O 2.19-2.25
Sb 0.0000 0.5000 0.5000  6 O 1.97-2.12
Sb 0.5233 0.7585 0.7503  6 O 1.96-2.10
Sb 0.5000 0.5000 0.0000  6 O 1.97-2.12
O 0.2922 0.2958 0.4158  2 Sb 1.96-1.97
O 0.7061 0.0010 0.3155  2 Sb 1.96, 1 Na 2.19
O 0.2078 0.2958 0.9158  2 Sb 1.96-1.97
O 0.2244 0.5171 0.6728  3 Sb 2.09-2.12
Na 0.5000 0.0000 0.5000  6 O 2.19-2.25
O 0.7922 0.7042 0.0842  2 Sb 1.96-1.97
Sb 0.4767 0.2415 0.2497  6 O 1.96-2.10
O 0.2756 0.5171 0.1728  3 Sb 2.09-2.12
O 0.3516 0.7668 0.9204  2 Sb 1.97-1.98
O 0.7244 0.4829 0.8272  3 Sb 2.09-2.12
Sb 0.0233 0.2415 0.7497  6 O 1.96-2.10

Entry ii
# NaSb3O8

NaSb3O8 at its PBEsol-relaxed geometry (meta-GGA SCAN, the Alexandria database).

Properties
**Space group**: Ibam (72)
**Total magnetic moment**: 0.0 μB per formula unit

Lattice parameters (Å, degrees): 7.1241 7.2725 7.2725 60.76 60.67 60.67
Last column: nearest neighbours and their distance in Å.
Sites, in units of the cell vectors:
Sb 0.0165 0.2457 0.2457  5 O 1.96-2.01
O 0.6905 0.9245 0.9245  3 Sb 1.96-2.16
Sb 0.5080 0.2543 0.2543  5 O 1.96-2.01
Sb 0.5000 0.7500 0.2500  8 O 2.05-2.16
O 0.5395 0.5755 0.5755  3 Sb 1.96-2.16
O 0.8397 0.1564 0.5687  2 Sb 1.98-2.05
O 0.4352 0.6564 0.0687  2 Sb 1.98-2.05
O 0.5648 0.9313 0.3436  2 Sb 1.98-2.05
O 0.8244 0.6637 0.6637  2 Sb 1.97-2.01
Sb 0.9835 0.7543 0.7543  5 O 1.96-2.01
O 0.5648 0.3436 0.9313  2 Sb 1.98-2.05
O 0.3095 0.0755 0.0755  3 Sb 1.96-2.16
O 0.8482 0.1637 0.1637  2 Sb 1.97-2.01
O 0.4605 0.4245 0.4245  3 Sb 1.96-2.16
Sb 0.5000 0.2500 0.7500  8 O 2.05-2.16
O 0.4352 0.0687 0.6564  2 Sb 1.98-2.05
O 0.1518 0.8363 0.8363  2 Sb 1.97-2.01
Na 0.0000 0.7500 0.2500  8 O 2.50-2.57
O 0.1756 0.3363 0.3363  2 Sb 1.97-2.01
Sb 0.4920 0.7457 0.7457  5 O 1.96-2.01
O 0.8397 0.5687 0.1564  2 Sb 1.98-2.05
O 0.1603 0.4313 0.8436  2 Sb 1.98-2.05
O 0.1603 0.8436 0.4313  2 Sb 1.98-2.05
Na 0.0000 0.2500 0.7500  8 O 2.50-2.57

Which of them is most stable, and which least? Most stable: entry i; least stable: entry ii.

Entry i
# Na2ZnSi2O6

Na2ZnSi2O6 at its PBEsol-relaxed geometry (meta-GGA SCAN, the Alexandria database).

Properties
**Space group**: Fdd2 (43)
**Total magnetic moment**: 0.0 μB per formula unit

Lattice parameters (Å, degrees): 5.1582 5.1582 11.3015 102.63 102.63 92.39
Last column: nearest neighbours and their distance in Å.
Sites, in units of the cell vectors:
O 0.4973 0.7521 0.1564  1 Si 1.62
O 0.8472 0.5599 0.9655  1 Si 1.61
O 0.2479 0.5027 0.8436  1 Si 1.62
Na 0.4637 0.9156 0.8447  4 O 2.26-2.48
Zn 0.5012 0.4988 0.0000  4 O 1.94-1.96
O 0.1543 0.9091 0.6564  1 Si 1.62
O 0.1556 0.3683 0.4655  1 Si 1.61
Na 0.0844 0.5363 0.1553  4 O 2.26-2.48
O 0.6317 0.8444 0.5345  1 Si 1.61
O 0.4401 0.1528 0.0345  1 Si 1.61
Si 0.1079 0.1541 0.3341  4 O 1.61-1.67
Si 0.9300 0.4762 0.8341  4 O 1.61-1.67
Si 0.5238 0.0700 0.1659  4 O 1.61-1.67
O 0.7875 0.1690 0.7615  2 Si 1.67
O 0.0909 0.8457 0.3436  1 Si 1.62
Si 0.8459 0.8921 0.6659  4 O 1.61-1.67
Na 0.3690 0.3208 0.6553  4 O 2.26-2.48
Na 0.6792 0.6310 0.3447  4 O 2.26-2.48
O 0.3425 0.2239 0.2615  2 Si 1.67
O 0.7761 0.6575 0.7385  2 Si 1.67
Zn 0.2512 0.7488 0.5000  4 O 1.94-1.96
O 0.8310 0.2125 0.2385  2 Si 1.67

Entry ii
# Na2ZnSi2O6

Na2ZnSi2O6 at its PBEsol-relaxed geometry (meta-GGA SCAN, the Alexandria database).

Properties
**Space group**: C2/c (15)
**Total magnetic moment**: 0.0 μB per formula unit

Lattice parameters (Å, degrees): 5.6815 5.6815 9.9561 91.57 91.57 114.35
Last column: nearest neighbours and their distance in Å.
Sites, in units of the cell vectors:
Zn 0.2702 0.7298 0.7500  4 O 1.94-1.99
Si 0.1661 0.1381 0.1390  4 O 1.62-1.66
Na 0.3888 0.7392 0.1044  3 O 2.28-2.36
Si 0.8619 0.8339 0.3610  4 O 1.62-1.66
O 0.6324 0.9104 0.3070  1 Si 1.62
Na 0.6112 0.2608 0.8956  3 O 2.28-2.36
O 0.9104 0.6324 0.8070  1 Si 1.62
Zn 0.7298 0.2702 0.2500  4 O 1.94-1.99
O 0.4700 0.2284 0.1092  1 Si 1.62
Si 0.1381 0.1661 0.6390  4 O 1.62-1.66
O 0.2284 0.4700 0.6092  1 Si 1.62
Na 0.7392 0.3888 0.6044  3 O 2.28-2.36
O 0.3676 0.0896 0.6930  1 Si 1.62
O 0.0000 0.0000 0.5000  2 Si 1.64
O 0.0896 0.3676 0.1930  1 Si 1.62
O 0.7716 0.5300 0.3908  1 Si 1.62
Si 0.8339 0.8619 0.8610  4 O 1.62-1.66
O 0.0000 0.0000 0.0000  2 Si 1.64
O 0.9076 0.0924 0.7500  2 Si 1.66
O 0.0924 0.9076 0.2500  2 Si 1.66
Na 0.2608 0.6112 0.3956  3 O 2.28-2.36
O 0.5300 0.7716 0.8908  1 Si 1.62

Which of them is most stable, and which least? Most stable: entry i; least stable: entry ii.

Entry i
# Na3TaO

Na3TaO at its PBEsol-relaxed geometry (meta-GGA SCAN, the Alexandria database).

Properties
**Space group**: Pm-3m (221)
**Total magnetic moment**: 4.0 μB per formula unit

Lattice parameters (Å, degrees): 4.7003 4.7003 4.7003 90.00 90.00 90.00
Last column: nearest neighbours and their distance in Å.
Sites, in units of the cell vectors:
Ta 0.5000 0.5000 0.5000  12 Na 3.32
Na 0.5000 0.0000 0.0000  2 O 2.35
Na 0.0000 0.0000 0.5000  2 O 2.35
Na 0.0000 0.5000 0.0000  2 O 2.35
O 0.0000 0.0000 0.0000  6 Na 2.35

Entry ii
# Na3TaO

Na3TaO at its PBEsol-relaxed geometry (meta-GGA SCAN, the Alexandria database).

Properties
**Space group**: Pm-3m (221)
**Total magnetic moment**: 5.9 μB per formula unit

Lattice parameters (Å, degrees): 5.9151 5.9151 5.9151 90.00 90.00 90.00
Last column: nearest neighbours and their distance in Å.
Sites, in units of the cell vectors:
Na 0.0000 0.0000 0.5000  2 Ta 2.96
Ta 0.0000 0.0000 0.0000  6 Na 2.96
Na 0.0000 0.5000 0.0000  2 Ta 2.96
Na 0.5000 0.0000 0.0000  2 Ta 2.96
O 0.5000 0.5000 0.5000  12 Na 4.18

Which of them is most stable, and which least? Most stable: entry i; least stable: entry ii.